An optimized crystal structure of CrFe2F6, computed with PBE with a Hubbard U.

Cell and atoms, written as extended XYZ:
```
18
Lattice="4.378 -5.510 0.000 4.378 5.510 0.000 -1.251 0.000 4.676" Properties=species:S:1:pos:R:3 pbc="T T T"
Cr 3.440 4.574 3.507
Cr 4.065 -4.574 1.169
Fe 1.805 1.247 4.536
Fe 2.430 -1.247 2.198
Fe 5.074 1.247 2.478
Fe 5.700 -1.247 0.140
F 1.979 3.252 4.137
F 0.447 0.671 3.065
F 1.073 -0.671 0.727
F 3.045 0.982 2.010
F 4.900 3.252 2.876
F 2.419 -0.982 4.348
F 5.085 0.982 0.328
F 2.604 -3.252 1.799
F 4.460 -0.982 2.666
F 6.432 0.671 3.949
F 7.057 -0.671 1.611
F 5.526 -3.252 0.539
```

Calculated total energy, eV per atom: -5.516